(1)
MnCd2Si after structural relaxation. Source: Alexandria, functional PBE-GGA.

Unit cell a=8.5568 b=8.5568 c=6.5241 alpha=49.02 beta=49.02 gamma=90.00
Site moments in Bohr magnetons follow the coordinates.
Atoms (fractional coordinates):
1 Cd 0.8750 0.7940 0.7500  -0.04
2 Cd 0.3750 0.4560 0.7500  -0.04
3 Cd 0.2060 0.6250 0.2500  -0.04
4 Cd 0.5440 0.1250 0.2500  -0.04
5 Mn 0.0000 0.0000 0.0000  3.71
6 Mn 0.7500 0.2500 0.5000  3.72
7 Si 0.2500 0.7500 0.5000  -0.09
8 Si 0.5000 0.5000 0.0000  -0.09

Total DFT energy (no corrections) = -29.16 eV per cell
Crystal system = tetragonal
Fermi-level density of states = 4.91 states/eV/cell
Space group = No. 122

=====

(2)
MnCd2Si after structural relaxation. Source: Alexandria, functional PBE-GGA.

Unit cell a=4.7860 b=5.9788 c=2.9418 alpha=75.29 beta=91.14 gamma=113.90
Site moments in Bohr magnetons follow the coordinates.
Atoms (fractional coordinates):
1 Mn 0.0000 0.5000 0.5000  3.53
2 Cd 0.0000 0.0000 0.0000  -0.02
3 Cd 0.5000 0.0000 0.5000  -0.02
4 Si 0.5000 0.5000 0.0000  -0.06

Total DFT energy (no corrections) = -15.10 eV per cell
Crystal system = monoclinic
Fermi-level density of states = 2.32 states/eV/cell
Space group = No. 12

=====

(3)
Mn2CdSi2 after structural relaxation. Source: Alexandria, functional PBE-GGA.

Unit cell a=7.0790 b=7.0790 c=2.6859 alpha=90.00 beta=90.00 gamma=90.00
Site moments in Bohr magnetons follow the coordinates.
Atoms (fractional coordinates):
1 Mn 0.1519 0.6519 0.5000  1.51
2 Mn 0.6519 0.8481 0.5000  1.50
3 Mn 0.8481 0.3481 0.5000  1.51
4 Mn 0.3481 0.1519 0.5000  1.50
5 Si 0.6378 0.1378 0.0000  -0.08
6 Si 0.3622 0.8622 0.0000  -0.08
7 Si 0.1378 0.3622 0.0000  -0.08
8 Si 0.8622 0.6378 0.0000  -0.08
9 Cd 0.0000 0.0000 0.0000  -0.05
10 Cd 0.5000 0.5000 0.0000  -0.05

Total DFT energy (no corrections) = -60.67 eV per cell
Crystal system = tetragonal
Fermi-level density of states = 5.80 states/eV/cell
Space group = No. 127